Computed, not measured: Li2ZnCr after structural relaxation at the PBE-GGA level of DFT.

- ΔE_f (meV/atom) = 269.4
- crystal system = tetragonal
- polymorph energy (0 for the lowest one) (meV per atom) = 77.8

a b c (Å): 2.4450 2.4450 8.9908
angles (deg): 90.00 90.00 90.00
Each line ends with the local moment (μB).
Atoms (fractional coordinates):
Zn 0.5000 0.5000 0.2500  0.00
Li 0.0000 0.0000 0.0004  0.00
Li 0.0000 0.0000 0.4996  0.00
Cr 0.5000 0.5000 0.7500  0.20